Below is Ac2SmInPd6 after structural relaxation, with properties calculated at the GGA-PBE level.

Results
- space group = Fm-3m
- density (g cm⁻³) = 8.46
- total energy (eV per atom) = -4.872

Cell: 7.2245 7.2245 7.2245 Å, 60.00 60.00 60.00°
Fractional coordinates of all 10 atoms:
Ac 0.2500 0.2500 0.2500
Ac 0.7500 0.7500 0.7500
Sm 0.0000 0.0000 0.0000
In 0.5000 0.5000 0.5000
Pd 0.2532 0.2532 0.7468
Pd 0.2532 0.7468 0.2532
Pd 0.2532 0.7468 0.7468
Pd 0.7468 0.2532 0.2532
Pd 0.7468 0.2532 0.7468
Pd 0.7468 0.7468 0.2532